Record 1
ReTc2Te SCAN PBEsol geometry; formation energy from raw total energies = 0.398 eV/atom; density of states at the Fermi level = 1.39 states/eV/f.u.
1.0
3.049 0.000 0.000
0.000 3.049 0.000
0.000 0.000 6.726
Re Tc Te
1 2 1
direct
0.000 0.000 0.000 Re
0.000 0.000 0.482 Tc
0.500 0.500 0.234 Tc
0.500 0.500 0.728 Te

Record 2
ReTcTe2 SCAN PBEsol geometry; formation energy from raw total energies = 1.198 eV/atom; density of states at the Fermi level = 4.57 states/eV/f.u.
1.0
3.199 0.000 0.000
0.000 4.309 0.000
0.000 0.000 5.441
Re Tc Te
1 1 2
direct
0.000 0.000 0.000 Re
0.500 0.000 0.500 Tc
0.000 0.500 0.500 Te
0.500 0.500 0.000 Te

Record 3
YRe2TcTe SCAN PBEsol geometry; formation energy from raw total energies = 2.911 eV/atom; density of states at the Fermi level = 4.84 states/eV/f.u.
1.0
4.804 0.000 0.000
0.000 4.804 0.000
0.000 0.000 4.687
Y Re Tc Te
1 2 1 1
direct
0.000 0.000 0.000 Y
0.000 0.500 0.000 Re
0.500 0.000 0.000 Re
0.000 0.000 0.500 Tc
0.500 0.500 0.500 Te

Record 4
Ti2ReTc SCAN PBEsol geometry; ΔE_f = -0.545 eV/atom; density of states at the Fermi level = 2.92 states/eV/f.u.
1.0
6.148 0.000 0.000
0.000 6.148 0.000
0.000 0.000 6.148
Ti Re Tc
8 4 4
direct
0.250 0.250 0.250 Ti
0.250 0.250 0.750 Ti
0.250 0.750 0.250 Ti
0.250 0.750 0.750 Ti
0.750 0.250 0.250 Ti
0.750 0.250 0.750 Ti
0.750 0.750 0.250 Ti
0.750 0.750 0.750 Ti
0.000 0.000 0.000 Re
0.000 0.500 0.500 Re
0.500 0.000 0.500 Re
0.500 0.500 0.000 Re
0.000 0.000 0.500 Tc
0.000 0.500 0.000 Tc
0.500 0.000 0.000 Tc
0.500 0.500 0.500 Tc

Q: What is the density of states at the Fermi level in the first record?
A: 1.39 states/eV/f.u.